Entry 1:
This record from the Alexandria database describes a relaxed Cs3CaTe crystal. The functional is GGA-PBE.

N(E_F) ... 3.125 states/eV per atom
Total magnetic moment ... 1.00 μB per formula unit
Raw formation energy ... 0.277 eV/atom
Crystal system ... cubic

Cell lengths 7.465, 7.465, 7.465 Å; angles 90.00, 90.00, 90.00 degrees
Space group Pm-3m (No. 221)
Symmetry-distinct sites (fractional):
Cs  0.000  0.000  0.500 x3
Ca  0.000  0.000  0.000 x1
Te  0.500  0.500  0.500 x1

Entry 2:
This record from the Alexandria database describes a relaxed Cs6CaTe4 crystal. The functional is GGA-PBE.

N(E_F) ... 0.000 states/eV per atom
Total magnetic moment ... 0.00 μB per formula unit
Raw formation energy ... -1.161 eV/atom
Crystal system ... hexagonal

Cell lengths 12.1450, 12.1450, 9.3705 Å; angles 90.00, 90.00, 120.00 degrees
Space group P6_3mc (No. 186)
Symmetry-distinct sites (fractional):
Cs  0.0588  0.5294  0.0000 x6
Cs  0.1471  0.2942  0.6783 x6
Ca  0.3333  0.6667  0.3860 x2
Te  0.1936  0.3871  0.2843 x6
Te  0.3333  0.6667  0.7155 x2

Entry 3:
This record from the Alexandria database describes a relaxed CsCaTe crystal. The functional is GGA-PBE.

N(E_F) ... 0.261 states/eV per atom
Total magnetic moment ... 0.32 μB per formula unit
Raw formation energy ... -0.790 eV/atom
Crystal system ... orthorhombic

Cell lengths 12.372, 15.596, 8.255 Å; angles 90.00, 90.00, 90.00 degrees
Space group Ima2 (No. 46)
Symmetry-distinct sites (fractional):
Cs  0.250  0.013  0.000 x4
Cs  0.250  0.202  0.587 x4
Cs  0.250  0.738  0.164 x4
Ca  0.000  0.000  0.648 x4
Ca  0.023  0.626  0.783 x8
Te  0.001  0.662  0.397 x8
Te  0.250  0.543  0.960 x4

Entry 4:
This record from the Alexandria database describes a relaxed CsCaTe3 crystal. The functional is GGA-PBE.

N(E_F) ... 0.977 states/eV per atom
Total magnetic moment ... 0.00 μB per formula unit
Raw formation energy ... 0.362 eV/atom
Crystal system ... cubic
Energy relative to the lowest polymorph listed for this composition ... 0.9675 eV per atom

Cell lengths 6.217, 6.217, 6.217 Å; angles 90.00, 90.00, 90.00 degrees
Space group Pm-3m (No. 221)
Symmetry-distinct sites (fractional):
Cs  0.000  0.000  0.000 x1
Ca  0.500  0.500  0.500 x1
Te  0.000  0.000  0.500 x3

Entry 5:
This record from the Alexandria database describes a relaxed Cs3Ca2ThTe6 crystal. The functional is GGA-PBE.

N(E_F) ... 1.108 states/eV per atom
Total magnetic moment ... 0.00 μB per formula unit
Raw formation energy ... -1.261 eV/atom
Crystal system ... monoclinic

Cell lengths 8.111, 14.032, 9.343 Å; angles 90.00, 106.78, 90.00 degrees
Space group C2/m (No. 12)
Symmetry-distinct sites (fractional):
Cs  0.000  0.000  0.000 x2
Cs  0.000  0.330  0.000 x4
Ca  0.000  0.166  0.500 x4
Th  0.000  0.500  0.500 x2
Te  0.227  0.337  0.692 x8
Te  0.239  0.000  0.694 x4

Entry 6:
This record from the Alexandria database describes a relaxed Cs4CaTh3Te8 crystal. The functional is GGA-PBE.

N(E_F) ... 0.574 states/eV per atom
Total magnetic moment ... 0.00 μB per formula unit
Raw formation energy ... -1.253 eV/atom
Crystal system ... trigonal

Cell lengths 9.2273, 9.2273, 27.0398 Å; angles 90.00, 90.00, 120.00 degrees
Space group R-3m (No. 166, hexagonal axes)
Symmetry-distinct sites (fractional):
Cs  0.0000  0.0000  0.0000 x3
Cs  0.0000  0.5000  0.0000 x9
Ca  0.0000  0.0000  0.5000 x3
Th  0.0000  0.5000  0.5000 x9
Te  0.0000  0.0000  0.2326 x6
Te  0.0047  0.5024  0.7681 x18

Entry 7:
This record from the Alexandria database describes a relaxed Cs3CaU3Te8 crystal. The functional is GGA-PBE.

N(E_F) ... 1.249 states/eV per atom
Total magnetic moment ... 7.00 μB per formula unit
Raw formation energy ... -0.975 eV/atom
Crystal system ... triclinic

Cell lengths 9.062, 9.064, 10.457 Å; angles 90.03, 115.63, 119.99 degrees
Space group P-1 (No. 2)
Symmetry-distinct sites (fractional):
Cs  0.000  0.000  0.000 x1
Cs  0.000  0.500  0.000 x1
Cs  0.500  0.000  0.000 x1
Ca  0.500  0.000  0.500 x1
U  0.000  0.000  0.500 x1
U  0.000  0.500  0.500 x1
U  0.500  0.500  0.500 x1
Te  0.027  0.763  0.310 x2
Te  0.040  0.270  0.310 x2
Te  0.453  0.716  0.689 x2
Te  0.454  0.237  0.690 x2

Entry 8:
This record from the Alexandria database describes a relaxed CsCaY2Te crystal. The functional is GGA-PBE.

N(E_F) ... 1.755 states/eV per atom
Total magnetic moment ... 0.01 μB per formula unit
Raw formation energy ... 0.900 eV/atom
Crystal system ... tetragonal

Cell lengths 5.683, 5.683, 6.510 Å; angles 90.00, 90.00, 90.00 degrees
Space group P4/mmm (No. 123)
Symmetry-distinct sites (fractional):
Cs  0.000  0.000  0.000 x1
Ca  0.500  0.500  0.500 x1
Y  0.000  0.500  0.000 x2
Te  0.000  0.000  0.500 x1

Entry 9:
This record from the Alexandria database describes a relaxed CsCaTi3 crystal. The functional is GGA-PBE.

N(E_F) ... 1.435 states/eV per atom
Total magnetic moment ... 2.09 μB per formula unit
Crystal system ... cubic
DFT formation energy ... 1695 meV per atom
Energy relative to the lowest polymorph listed for this composition ... 0.0000 eV per atom

Cell lengths 5.096, 5.096, 5.096 Å; angles 90.00, 90.00, 90.00 degrees
Space group Pm-3m (No. 221)
Symmetry-distinct sites (fractional):
Cs  0.000  0.000  0.000 x1
Ca  0.500  0.500  0.500 x1
Ti  0.000  0.000  0.500 x3

Entry 10:
This record from the Alexandria database describes a relaxed Cs2CaTi crystal. The functional is GGA-PBE.

N(E_F) ... 1.449 states/eV per atom
Total magnetic moment ... 3.51 μB per formula unit
Crystal system ... cubic
DFT formation energy ... 1049 meV per atom

Cell lengths 9.616, 9.616, 9.616 Å; angles 90.00, 90.00, 90.00 degrees
Space group Fm-3m (No. 225)
Symmetry-distinct sites (fractional):
Cs  0.250  0.250  0.250 x8
Ca  0.000  0.000  0.000 x4
Ti  0.000  0.000  0.500 x4

Entry 11:
This record from the Alexandria database describes a relaxed CsCa2Ti crystal. The functional is GGA-PBE.

N(E_F) ... 2.025 states/eV per atom
Total magnetic moment ... 3.68 μB per formula unit
Crystal system ... cubic
DFT formation energy ... 773 meV per atom

Cell lengths 8.587, 8.587, 8.587 Å; angles 90.00, 90.00, 90.00 degrees
Space group Fm-3m (No. 225)
Symmetry-distinct sites (fractional):
Cs  0.000  0.000  0.000 x4
Ca  0.250  0.250  0.250 x8
Ti  0.000  0.000  0.500 x4

Entry 12:
This record from the Alexandria database describes a relaxed Cs3CaTi crystal. The functional is GGA-PBE.

N(E_F) ... 1.216 states/eV per atom
Total magnetic moment ... 5.00 μB per formula unit
Crystal system ... cubic
DFT formation energy ... 940 meV per atom

Cell lengths 7.198, 7.198, 7.198 Å; angles 90.00, 90.00, 90.00 degrees
Space group Pm-3m (No. 221)
Symmetry-distinct sites (fractional):
Cs  0.000  0.000  0.500 x3
Ca  0.500  0.500  0.500 x1
Ti  0.000  0.000  0.000 x1

Entry 13:
This record from the Alexandria database describes a relaxed CsCaTi3 crystal. The functional is GGA-PBE.

N(E_F) ... 1.808 states/eV per atom
Total magnetic moment ... 3.95 μB per formula unit
Crystal system ... cubic
DFT formation energy ... 1881 meV per atom
Energy relative to the lowest polymorph listed for this composition ... 0.1859 eV per atom

Cell lengths 5.399, 5.399, 5.399 Å; angles 90.00, 90.00, 90.00 degrees
Space group Pm-3m (No. 221)
Symmetry-distinct sites (fractional):
Cs  0.000  0.000  0.000 x1
Ca  0.500  0.500  0.500 x1
Ti  0.000  0.500  0.500 x3

Entry 14:
This record from the Alexandria database describes a relaxed CsCaTi2 crystal. The functional is GGA-PBE.

N(E_F) ... 3.096 states/eV per atom
Total magnetic moment ... 5.88 μB per formula unit
Crystal system ... cubic
DFT formation energy ... 1364 meV per atom

Cell lengths 8.082, 8.082, 8.082 Å; angles 90.00, 90.00, 90.00 degrees
Space group Fm-3m (No. 225)
Symmetry-distinct sites (fractional):
Cs  0.000  0.000  0.000 x4
Ca  0.000  0.000  0.500 x4
Ti  0.250  0.250  0.250 x8

Entry 15:
This record from the Alexandria database describes a relaxed Cs3CaTl crystal. The functional is GGA-PBE.

N(E_F) ... 0.855 states/eV per atom
Total magnetic moment ... 0.00 μB per formula unit
Crystal system ... cubic
DFT formation energy ... 253 meV per atom

Cell lengths 7.442, 7.442, 7.442 Å; angles 90.00, 90.00, 90.00 degrees
Space group Pm-3m (No. 221)
Symmetry-distinct sites (fractional):
Cs  0.000  0.000  0.500 x3
Ca  0.500  0.500  0.500 x1
Tl  0.000  0.000  0.000 x1

Entry 16:
This record from the Alexandria database describes a relaxed CsCaTl5 crystal. The functional is GGA-PBE.

N(E_F) ... 0.485 states/eV per atom
Total magnetic moment ... 0.00 μB per formula unit
Crystal system ... tetragonal
DFT formation energy ... -142 meV per atom

Cell lengths 4.692, 4.692, 11.914 Å; angles 90.00, 90.00, 90.00 degrees
Space group P4/mmm (No. 123)
Symmetry-distinct sites (fractional):
Cs  0.000  0.000  0.000 x1
Ca  0.500  0.500  0.500 x1
Tl  0.000  0.000  0.500 x1
Tl  0.000  0.500  0.279 x4

Entry 17:
This record from the Alexandria database describes a relaxed CsCa4Tl5 crystal. The functional is GGA-PBE.

N(E_F) ... 0.469 states/eV per atom
Total magnetic moment ... 0.00 μB per formula unit
Crystal system ... tetragonal
DFT formation energy ... -348 meV per atom

Cell lengths 3.979, 3.979, 20.552 Å; angles 90.00, 90.00, 90.00 degrees
Space group P4/mmm (No. 123)
Symmetry-distinct sites (fractional):
Cs  0.000  0.000  0.000 x1
Ca  0.000  0.000  0.225 x2
Ca  0.000  0.000  0.409 x2
Tl  0.500  0.500  0.138 x2
Tl  0.500  0.500  0.315 x2
Tl  0.500  0.500  0.500 x1

Entry 18:
This record from the Alexandria database describes a relaxed CsCaTl2 crystal. The functional is GGA-PBE.

N(E_F) ... 0.857 states/eV per atom
Total magnetic moment ... 0.00 μB per formula unit
Crystal system ... tetragonal
DFT formation energy ... 83 meV per atom
Energy relative to the lowest polymorph listed for this composition ... 0.2872 eV per atom

Cell lengths 5.983, 5.983, 22.628 Å; angles 90.00, 90.00, 90.00 degrees
Space group I-42d (No. 122)
Symmetry-distinct sites (fractional):
Cs  0.000  0.000  0.000 x4
Ca  0.000  0.000  0.500 x4
Tl  0.084  0.250  0.625 x8

Entry 19:
This record from the Alexandria database describes a relaxed Cs2Ca2Tl15 crystal. The functional is GGA-PBE.

N(E_F) ... 0.611 states/eV per atom
Total magnetic moment ... 0.00 μB per formula unit
Crystal system ... trigonal
DFT formation energy ... -88 meV per atom

Cell lengths 11.3684, 11.3684, 17.4076 Å; angles 90.00, 90.00, 120.00 degrees
Space group R-3m (No. 166, hexagonal axes)
Symmetry-distinct sites (fractional):
Cs  0.0000  0.0000  0.1518 x6
Ca  0.0000  0.0000  0.3940 x6
Tl  0.0000  0.2842  0.5000 x18
Tl  0.0000  0.5000  0.0000 x9
Tl  0.0014  0.5007  0.6418 x18

Entry 20:
This record from the Alexandria database describes a relaxed CsCaTl2 crystal. The functional is GGA-PBE.

N(E_F) ... 0.792 states/eV per atom
Total magnetic moment ... 0.00 μB per formula unit
Crystal system ... trigonal
DFT formation energy ... -49 meV per atom
Energy relative to the lowest polymorph listed for this composition ... 0.1544 eV per atom

Cell lengths 3.9814, 3.9814, 33.8144 Å; angles 90.00, 90.00, 120.00 degrees
Space group R-3m (No. 166, hexagonal axes)
Symmetry-distinct sites (fractional):
Cs  0.0000  0.0000  0.0000 x3
Ca  0.0000  0.0000  0.5000 x3
Tl  0.0000  0.0000  0.2388 x6